1.
First-principles (PBE) data for GaTc2Pd after structural relaxation, as listed in the Open Quantum Materials Database.

Structure (POSCAR):
```
GaTc2Pd
1.0
0.0000 3.0955 3.0955
3.0955 0.0000 3.0955
3.0955 3.0955 0.0000
Ga Tc Pd
1 2 1
direct
0.0000 0.0000 0.0000
0.5000 0.5000 0.5000
0.7500 0.7500 0.7500
0.2500 0.2500 0.2500
```

Total magnetization = 1.0 μB/cell
Symmetry = F-43m (216)
Calculated total energy = -7.204 eV per atom
Crystal system = cubic

2.
First-principles (PBE) data for AcSi2Ni after structural relaxation, as listed in the Open Quantum Materials Database.

Structure (POSCAR):
```
AcSi2Ni
1.0
2.1803 -8.4897 0.0000
2.1803 8.4897 0.0000
0.0000 0.0000 4.1839
Ac Si Ni
2 4 2
direct
0.1080 0.8920 0.7500
0.8920 0.1080 0.2500
0.2502 0.7498 0.2500
0.4591 0.5409 0.7500
0.5409 0.4591 0.2500
0.7498 0.2502 0.7500
0.3168 0.6832 0.7500
0.6832 0.3168 0.2500
```

Total magnetization = 0.0 μB/cell
Symmetry = Cmcm (63)
Calculated total energy = -5.821 eV per atom
Crystal system = orthorhombic

3.
First-principles (PBE) data for TaAlIrAu after structural relaxation, as listed in the Open Quantum Materials Database.

Structure (POSCAR):
```
TaAlIrAu
1.0
0.0000 3.1854 3.1854
3.1854 0.0000 3.1854
3.1854 3.1854 0.0000
Ta Al Ir Au
1 1 1 1
direct
0.0000 0.0000 0.0000
0.7500 0.7500 0.7500
0.2500 0.2500 0.2500
0.5000 0.5000 0.5000
```

Total magnetization = 0.0 μB/cell
Symmetry = F-43m (216)
Calculated total energy = -7.135 eV per atom
Crystal system = cubic

4.
First-principles (PBE) data for BaErCuTe3 after structural relaxation, as listed in the Open Quantum Materials Database.

Structure (POSCAR):
```
BaErCuTe3
1.0
8.6241 0.0000 0.0000
0.0000 4.4094 0.0000
-3.1650 0.0000 10.2373
Ba Er Cu Te
2 2 2 6
direct
0.2469 0.2500 0.2997
0.7531 0.7500 0.7003
0.3075 0.7500 0.8435
0.6925 0.2500 0.1565
0.0776 0.2500 0.5943
0.9224 0.7500 0.4057
0.0661 0.2500 0.8415
0.2411 0.7500 0.5508
0.4385 0.7500 0.1433
0.5615 0.2500 0.8567
0.7589 0.2500 0.4492
0.9339 0.7500 0.1585
```

Total magnetization = 0.0 μB/cell
Symmetry = P2_1/m (11)
Calculated total energy = -4.478 eV per atom
Crystal system = monoclinic